YNi2B2O6: relaxed, PBE with a Hubbard U.

abc: 5.0755 5.0755 5.9474
angles: 90.00 90.00 120.00
With the nearest neighbours (Å) after each atom.
Fractional positions:
1 Y 0.0000 0.0000 0.0000  6 O 2.29
2 Ni 0.3333 0.6667 0.3261  3 O 1.98
3 Ni 0.6667 0.3333 0.6739  3 O 1.98
4 B 0.3333 0.6667 0.7670  3 O 1.39
5 B 0.6667 0.3333 0.2330  3 O 1.39
6 O 0.3249 0.3893 0.7688  1 B 1.39
7 O 0.0644 0.6751 0.7688  1 B 1.39
8 O 0.6107 0.9356 0.7688  1 B 1.39
9 O 0.6751 0.6107 0.2312  1 B 1.39
10 O 0.9356 0.3249 0.2312  1 B 1.39
11 O 0.3893 0.0644 0.2312  1 B 1.39

Results
Raw total energy   -76.6 eV for the cell shown
Magnetization   0.2741 μB per atom